# 1
VASP calculation (GGA-PBE) on an optimized crystal structure of KMnSi4.

Output
Uncorrected energy, eV per atom: -4.82
Density of states at the Fermi level, states/eV per cell: 11.72

The structure in CIF format:
```
data_KMnSi4
_cell_length_a 7.510
_cell_length_b 7.510
_cell_length_c 7.510
_cell_angle_alpha 90.00
_cell_angle_beta 90.00
_cell_angle_gamma 90.00
_symmetry_space_group_name_H-M 'F -4 3 m'
_symmetry_Int_Tables_number 216
_symmetry_space_group_name_Hall 'F -4 2 3'
loop_
_atom_site_label
_atom_site_fract_x
_atom_site_fract_y
_atom_site_fract_z
K1 0.000 0.000 0.000
Mn1 0.250 0.250 0.750
Si1 0.124 0.124 0.376
```

# 2
VASP calculation (GGA-PBE) on an optimized crystal structure of KMnSiTe2.

Output
Uncorrected energy, eV per atom: -4.33
Density of states at the Fermi level, states/eV per cell: 2.75

The structure in CIF format:
```
data_KMnSiTe2
_cell_length_a 5.648
_cell_length_b 5.648
_cell_length_c 4.738
_cell_angle_alpha 90.00
_cell_angle_beta 90.00
_cell_angle_gamma 90.00
_symmetry_space_group_name_H-M 'P 4/m m m'
_symmetry_Int_Tables_number 123
_symmetry_space_group_name_Hall '-P 4 2'
loop_
_atom_site_label
_atom_site_fract_x
_atom_site_fract_y
_atom_site_fract_z
K1 0.000 0.000 0.000
Mn1 0.500 0.500 0.000
Si1 0.500 0.500 0.500
Te1 0.000 0.500 0.500
```

# 3
VASP calculation (GGA-PBE) on an optimized crystal structure of K2MnSiTe4.

Output
Uncorrected energy, eV per atom: -3.99
Density of states at the Fermi level, states/eV per cell: 14.05

The structure in CIF format:
```
data_K2MnSiTe4
_cell_length_a 8.857
_cell_length_b 8.886
_cell_length_c 12.391
_cell_angle_alpha 90.00
_cell_angle_beta 90.00
_cell_angle_gamma 90.00
_symmetry_space_group_name_H-M 'I m m a'
_symmetry_Int_Tables_number 74
_symmetry_space_group_name_Hall '-I 2b 2'
loop_
_atom_site_label
_atom_site_fract_x
_atom_site_fract_y
_atom_site_fract_z
K1 0.000 0.000 0.000
K2 0.250 0.250 0.250
Mn1 0.000 0.000 0.500
Si1 0.250 0.250 0.750
Te1 0.000 0.036 0.724
Te2 0.208 0.250 0.519
```